The following is a PBEsol calculation of a relaxed K4B10H4O19 crystal, from the Alexandria database.

a = 17.9754 Å, b = 6.8262 Å, c = 13.3393 Å
α = 90.00°, β = 95.57°, γ = 90.00°
Last column: nearest neighbours and their distance in Å.
Space group C2/c (No. 15)
Inequivalent atoms, fractional coordinates:
1 K 0.0611 0.1342 0.4337 (multiplicity 8)  8 O 2.79-3.06, 1 H 2.80
2 K 0.2178 0.3859 0.3475 (multiplicity 8)  7 O 2.68-2.95
3 B 0.0370 0.3415 0.8302 (multiplicity 8)  4 O 1.46-1.51
4 B 0.0821 0.1561 0.6872 (multiplicity 8)  3 O 1.37-1.38
5 B 0.1109 0.3935 0.9975 (multiplicity 8)  3 O 1.36-1.41
6 B 0.1301 0.1692 0.1463 (multiplicity 8)  4 O 1.45-1.50
7 B 0.2288 0.4024 0.0997 (multiplicity 8)  3 O 1.36-1.39
8 H 0.0601 0.3476 0.2252 (multiplicity 8)  1 O 1.00
9 H 0.1633 0.1003 0.8433 (multiplicity 8)  1 O 1.02
10 O 0.0000 0.4643 0.7500 (multiplicity 4)  2 B 1.47
11 O 0.0180 0.2087 0.6294 (multiplicity 8)  2 B 1.37-1.48
12 O 0.0756 0.4617 0.9092 (multiplicity 8)  2 B 1.37-1.46
13 O 0.0883 0.2394 0.0510 (multiplicity 8)  2 B 1.36-1.49
14 O 0.0937 0.2310 0.2337 (multiplicity 8)  1 H 1.00
15 O 0.0959 0.2193 0.7858 (multiplicity 8)  2 B 1.38-1.51
16 O 0.1350 0.0446 0.6452 (multiplicity 8)  2 B 1.38-1.46
17 O 0.1774 0.4946 0.0302 (multiplicity 8)  2 B 1.39-1.41
18 O 0.2009 0.0189 0.8882 (multiplicity 8)  1 H 1.02
19 O 0.2093 0.2433 0.1527 (multiplicity 8)  2 B 1.36-1.50

## Properties
**Calculated total energy**: -0.268 Ha/atom



The following is a PBEsol calculation of a relaxed K3BP3H3O12 crystal, from the Alexandria database.

a = 25.6004 Å, b = 7.4563 Å, c = 14.0405 Å
α = 90.00°, β = 121.54°, γ = 90.00°
Last column: nearest neighbours and their distance in Å.
Space group C2/c (No. 15)
Inequivalent atoms, fractional coordinates:
1 K 0.0589 0.0455 0.1461 (multiplicity 8)  5 O 2.70-2.84, 1 H 2.99
2 K 0.1181 0.3092 0.9694 (multiplicity 8)  1 H 2.62, 6 O 2.65-2.90
3 K 0.2278 0.4989 0.4037 (multiplicity 8)  6 O 2.68-2.89, 1 H 2.87
4 B 0.1690 0.2781 0.6439 (multiplicity 8)  4 O 1.46-1.48
5 P 0.0750 0.4356 0.6620 (multiplicity 8)  4 O 1.52-1.58
6 P 0.1056 0.1358 0.4351 (multiplicity 8)  4 O 1.50-1.59
7 P 0.2374 0.0241 0.8081 (multiplicity 8)  4 O 1.51-1.58
8 H 0.0193 0.3716 0.9759 (multiplicity 8)  1 O 1.05
9 H 0.0796 0.3637 0.3060 (multiplicity 8)  1 O 1.09
10 H 0.1725 0.0654 0.3727 (multiplicity 8)  2 O 1.15-1.28
11 O 0.0110 0.3378 0.6087 (multiplicity 8)  1 H 1.05
12 O 0.0653 0.2355 0.3227 (multiplicity 8)  1 H 1.09
13 O 0.0684 0.0239 0.4670 (multiplicity 8)  1 P 1.50
14 O 0.0693 0.4035 0.0903 (multiplicity 8)  1 H 1.46, 1 P 1.52
15 O 0.0979 0.4817 0.7838 (multiplicity 8)  1 H 1.34
16 O 0.1191 0.2846 0.6667 (multiplicity 8)  1 B 1.47, 1 P 1.57
17 O 0.1450 0.2878 0.5227 (multiplicity 8)  1 B 1.48, 1 P 1.59
18 O 0.1514 0.0130 0.4221 (multiplicity 8)  1 H 1.15
19 O 0.1975 0.1203 0.3193 (multiplicity 8)  1 H 1.28
20 O 0.2008 0.1060 0.6863 (multiplicity 8)  1 B 1.47, 1 P 1.58
21 O 0.2091 0.4318 0.6981 (multiplicity 8)  1 B 1.46, 1 P 1.58
22 O 0.2389 0.3375 0.1004 (multiplicity 8)  1 P 1.51

## Properties
**Calculated total energy**: -0.245 Ha/atom



The following is a PBEsol calculation of a relaxed KVBP2HO9 crystal, from the Alexandria database.

a = 5.1799 Å, b = 8.0704 Å, c = 8.3566 Å
α = 87.21°, β = 80.40°, γ = 86.30°
Last column: nearest neighbours and their distance in Å.
Space group P-1 (No. 2)
Inequivalent atoms, fractional coordinates:
1 K 0.2210 0.3231 0.1101 (multiplicity 2)  10 O 2.79-3.09
2 V 0.2338 0.8004 0.1892 (multiplicity 2)  6 O 1.95-2.06
3 B 0.3729 0.7357 0.5521 (multiplicity 2)  4 O 1.46-1.48
4 P 0.2832 0.9403 0.8143 (multiplicity 2)  4 O 1.52-1.57
5 P 0.3022 0.4197 0.6995 (multiplicity 2)  4 O 1.52-1.56
6 H 0.0197 0.8254 0.4890 (multiplicity 2)  1 O 0.98
7 O 0.0068 0.0013 0.7844 (multiplicity 2)  1 P 1.54
8 O 0.0535 0.3561 0.7998 (multiplicity 2)  1 P 1.52
9 O 0.2027 0.8048 0.4381 (multiplicity 2)  1 H 0.98
10 O 0.2289 0.6044 0.6538 (multiplicity 2)  1 B 1.48, 1 P 1.56
11 O 0.2583 0.8028 0.9504 (multiplicity 2)  1 P 1.55
12 O 0.3745 0.3243 0.5384 (multiplicity 2)  1 B 1.46, 1 P 1.56
13 O 0.4395 0.8595 0.6577 (multiplicity 2)  1 B 1.46, 1 P 1.57
14 O 0.4433 0.0813 0.8503 (multiplicity 2)  1 P 1.52
15 O 0.4681 0.5904 0.2050 (multiplicity 2)  1 P 1.54

## Properties
**Calculated total energy**: -0.277 Ha/atom